A plane-wave DFT calculation with PBE was carried out for a relaxed La2MnAs2 crystal.

Unit cell a=6.682 b=6.682 c=4.857 alpha=90.00 beta=90.00 gamma=90.00
Space group P4/mbm (No. 127)
Asymmetric unit:
La: 0.176 0.324 0.000 [4 per cell]
Mn: 0.000 0.000 0.500 [2 per cell]
As: 0.145 0.645 0.500 [4 per cell]

**Theoretical density**: 7.39 g cm⁻³
**Calculated volume**: 216.8 Å³/cell
**Energy relative to the elements**: -61 kJ per mole of atoms
**N(E_F)**: 20.14 states/eV per cell
**Total energy**: -6.295 eV per atom


A plane-wave DFT calculation with PBE was carried out for a relaxed AcBi3Pb3 crystal.

Unit cell a=8.677 b=8.677 c=8.677 alpha=90.00 beta=90.00 gamma=90.00
Space group Pm-3n (No. 223)
Asymmetric unit:
Ac: 0.000 0.000 0.000 [2 per cell]
Bi: 0.000 0.250 0.500 [6 per cell]
Pb: 0.000 0.500 0.250 [6 per cell]

**Theoretical density**: 7.50 g cm⁻³
**Relative energy among the computed polymorphs**: 0.5278 eV/atom
**Calculated volume**: 653.4 Å³/cell
**Energy relative to the elements**: 33 kJ per mole of atoms
**N(E_F)**: 11.43 states/eV per cell
**Total energy**: -3.500 eV per atom


A plane-wave DFT calculation with PBE was carried out for a relaxed SbSeS2 crystal.

Unit cell a=7.259 b=7.259 c=6.837 alpha=90.00 beta=90.00 gamma=90.00
Space group I-42d (No. 122)
Asymmetric unit:
Sb: 0.000 0.000 0.000 [4 per cell]
Se: 0.000 0.000 0.500 [4 per cell]
S: 0.247 0.250 0.625 [8 per cell]

**Theoretical density**: 4.88 g cm⁻³
**Relative energy among the computed polymorphs**: 0.3505 eV/atom
**Formation energy without anion corrections**: 1.23 eV/f.u.
**Calculated volume**: 360.3 Å³/cell
**N(E_F)**: 12.53 states/eV per cell
**Total energy**: -3.659 eV per atom


A plane-wave DFT calculation with PBE was carried out for a relaxed GeTe2OsN crystal.

Unit cell a=5.500 b=5.500 c=3.681 alpha=90.00 beta=90.00 gamma=90.00
Space group P4/mmm (No. 123)
Asymmetric unit:
Ge: 0.000 0.000 0.000 [1 per cell]
Te: 0.000 0.500 0.500 [2 per cell]
Os: 0.500 0.500 0.500 [1 per cell]
N: 0.500 0.500 0.000 [1 per cell]

**Theoretical density**: 7.93 g cm⁻³
**Relative energy among the computed polymorphs**: 0.0000 eV/atom
**Formation energy without anion corrections**: 1.99 eV/f.u.
**Calculated volume**: 111.4 Å³/cell
**N(E_F)**: 3.34 states/eV per cell
**Total energy**: -5.692 eV per atom


A plane-wave DFT calculation with PBE was carried out for a relaxed Th2Fe3Co12Si crystal.

Unit cell a=6.0084 b=6.0084 c=24.8386 alpha=90.00 beta=90.00 gamma=120.00
Space group R-3m (No. 166, hexagonal axes)
Asymmetric unit:
Th: 0.0000 0.0000 0.1647 [6 per cell]
Fe: 0.0000 0.5000 0.0000 [9 per cell]
Co: 0.0592 0.5296 0.0950 [18 per cell]
Co: 0.0710 0.5355 0.6122 [18 per cell]
Si: 0.0000 0.0000 0.5000 [3 per cell]

**Theoretical density**: 8.77 g cm⁻³
**Formation energy without anion corrections**: 4.56 eV/f.u.
**Calculated volume**: 776.6 Å³/cell
**N(E_F)**: 60.32 states/eV per cell
**Total energy**: -7.020 eV per atom


A plane-wave DFT calculation with PBE was carried out for a relaxed KLi3Sb3 crystal.

Unit cell a=10.9908 b=10.9908 c=4.8597 alpha=90.00 beta=90.00 gamma=120.00
Space group P6_3/m (No. 176)
Asymmetric unit:
K: 0.3333 0.6667 0.2500 [2 per cell]
Li: 0.1410 0.7290 0.7500 [6 per cell]
Sb: 0.0268 0.4365 0.7500 [6 per cell]

**Theoretical density**: 2.78 g cm⁻³
**Relative energy among the computed polymorphs**: 0.0000 eV/atom
**Formation energy without anion corrections**: -2.00 eV/f.u.
**Calculated volume**: 508.4 Å³/cell
**N(E_F)**: 6.70 states/eV per cell
**Total energy**: -3.029 eV per atom


A plane-wave DFT calculation with PBE was carried out for a relaxed FePtRh crystal.

Unit cell a=11.807 b=2.740 c=5.466 alpha=90.00 beta=104.79 gamma=90.00
Space group C2/m (No. 12)
Asymmetric unit:
Fe: 0.158 0.000 0.085 [4 per cell]
Pt: 0.172 0.000 0.605 [4 per cell]
Rh: 0.002 0.500 0.755 [4 per cell]

**Theoretical density**: 13.75 g cm⁻³
**Relative energy among the computed polymorphs**: 0.0239 eV/atom
**Calculated volume**: 171.0 Å³/cell
**Energy relative to the elements**: -9 kJ per mole of atoms
**N(E_F)**: 15.19 states/eV per cell
**Total energy**: -7.381 eV per atom


A plane-wave DFT calculation with PBE was carried out for a relaxed Sm2AlGa3Rh4 crystal.

Unit cell a=4.265 b=4.265 c=10.155 alpha=90.00 beta=90.00 gamma=90.00
Space group P-4m2 (No. 115)
Asymmetric unit:
Sm: 0.000 0.500 0.238 [2 per cell]
Al: 0.000 0.000 0.500 [1 per cell]
Ga: 0.000 0.500 0.873 [2 per cell]
Ga: 0.500 0.500 0.500 [1 per cell]
Rh: 0.000 0.000 0.000 [1 per cell]
Rh: 0.000 0.500 0.629 [2 per cell]
Rh: 0.500 0.500 0.000 [1 per cell]

**Theoretical density**: 8.53 g cm⁻³
**Calculated volume**: 184.7 Å³/cell
**Energy relative to the elements**: -80 kJ per mole of atoms
**N(E_F)**: 8.04 states/eV per cell
**Total energy**: -5.998 eV per atom


A plane-wave DFT calculation with PBE was carried out for a relaxed Al2CrPb crystal.

Unit cell a=3.148 b=4.945 c=9.937 alpha=90.00 beta=90.00 gamma=90.00
Space group Immm (No. 71)
Asymmetric unit:
Al: 0.000 0.000 0.221 [4 per cell]
Cr: 0.000 0.500 0.500 [2 per cell]
Pb: 0.000 0.500 0.000 [2 per cell]

**Theoretical density**: 6.72 g cm⁻³
**Calculated volume**: 154.7 Å³/cell
**Energy relative to the elements**: 37 kJ per mole of atoms
**N(E_F)**: 4.84 states/eV per cell
**Total energy**: -4.826 eV per atom


A plane-wave DFT calculation with PBE was carried out for a relaxed CoHgMo2 crystal.

Unit cell a=2.812 b=3.789 c=5.961 alpha=90.00 beta=90.00 gamma=90.00
Space group Pmmm (No. 47)
Asymmetric unit:
Co: 0.000 0.000 0.000 [1 per cell]
Hg: 0.000 0.000 0.500 [1 per cell]
Mo: 0.500 0.500 0.206 [2 per cell]

**Theoretical density**: 11.80 g cm⁻³
**Calculated volume**: 63.5 Å³/cell
**Energy relative to the elements**: 39 kJ per mole of atoms
**N(E_F)**: 3.47 states/eV per cell
**Total energy**: -6.864 eV per atom


A plane-wave DFT calculation with PBE was carried out for a relaxed YTaTc2 crystal.

Unit cell a=3.271 b=4.404 c=4.994 alpha=90.00 beta=90.00 gamma=90.00
Space group Pmmm (No. 47)
Asymmetric unit:
Y: 0.000 0.000 0.000 [1 per cell]
Ta: 0.500 0.000 0.500 [1 per cell]
Tc: 0.000 0.500 0.500 [1 per cell]
Tc: 0.500 0.500 0.000 [1 per cell]

**Theoretical density**: 10.75 g cm⁻³
**Calculated volume**: 72.0 Å³/cell
**Energy relative to the elements**: 25 kJ per mole of atoms
**N(E_F)**: 4.12 states/eV per cell
**Total energy**: -9.505 eV per atom


A plane-wave DFT calculation with PBE was carried out for a relaxed LaErRuRh crystal.

Unit cell a=6.961 b=6.961 c=6.961 alpha=90.00 beta=90.00 gamma=90.00
Space group F-43m (No. 216)
Asymmetric unit:
La: 0.000 0.000 0.000 [4 per cell]
Er: 0.000 0.000 0.500 [4 per cell]
Ru: 0.250 0.250 0.750 [4 per cell]
Rh: 0.250 0.250 0.250 [4 per cell]

**Theoretical density**: 10.05 g cm⁻³
**Calculated volume**: 337.3 Å³/cell
**Energy relative to the elements**: -47 kJ per mole of atoms
**N(E_F)**: 12.14 states/eV per cell
**Total energy**: -7.018 eV per atom


A plane-wave DFT calculation with PBE was carried out for a relaxed Zr2TeSe crystal.

Unit cell a=3.7006 b=3.7006 c=22.7121 alpha=90.00 beta=90.00 gamma=120.00
Space group R3m (No. 160, hexagonal axes)
Asymmetric unit:
Zr: 0.0000 0.0000 0.0000 [3 per cell]
Zr: 0.0000 0.0000 0.1750 [3 per cell]
Te: 0.0000 0.0000 0.4214 [3 per cell]
Se: 0.0000 0.0000 0.5864 [3 per cell]

**Theoretical density**: 7.19 g cm⁻³
**Relative energy among the computed polymorphs**: 0.1060 eV/atom
**Formation energy without anion corrections**: -3.73 eV/f.u.
**Calculated volume**: 269.4 Å³/cell
**N(E_F)**: 6.76 states/eV per cell
**Total energy**: -6.862 eV per atom


A plane-wave DFT calculation with PBE was carried out for a relaxed TiHgSe2 crystal.

Unit cell a=3.9491 b=3.9491 c=24.4030 alpha=90.00 beta=90.00 gamma=120.00
Space group R-3m (No. 166, hexagonal axes)
Asymmetric unit:
Ti: 0.0000 0.0000 0.0000 [3 per cell]
Hg: 0.0000 0.0000 0.5000 [3 per cell]
Se: 0.0000 0.0000 0.0974 [6 per cell]

**Theoretical density**: 6.14 g cm⁻³
**Formation energy without anion corrections**: 0.63 eV/f.u.
**Calculated volume**: 329.6 Å³/cell
**N(E_F)**: 6.46 states/eV per cell
**Total energy**: -3.633 eV per atom


A plane-wave DFT calculation with PBE was carried out for a relaxed ErTm2ScTe6 crystal.

Unit cell a=7.5306 b=7.5306 c=20.6582 alpha=90.00 beta=90.00 gamma=120.00
Space group R3 (No. 146, hexagonal axes)
Asymmetric unit:
Er: 0.0000 0.0000 0.0000 [3 per cell]
Tm: 0.0000 0.0000 0.3155 [3 per cell]
Tm: 0.0000 0.0000 0.8169 [3 per cell]
Sc: 0.0000 0.0000 0.4985 [3 per cell]
Te: 0.0180 0.3388 0.5747 [9 per cell]
Te: 0.0239 0.6703 0.0774 [9 per cell]

**Theoretical density**: 6.46 g cm⁻³
**Formation energy without anion corrections**: -12.94 eV/f.u.
**Calculated volume**: 1014.6 Å³/cell
**Total energy**: -5.163 eV per atom


A plane-wave DFT calculation with PBE was carried out for a relaxed CaGa2BiBr crystal.

Unit cell a=5.578 b=5.578 c=6.259 alpha=90.00 beta=90.00 gamma=90.00
Space group P4/mmm (No. 123)
Asymmetric unit:
Ca: 0.000 0.000 0.000 [1 per cell]
Ga: 0.000 0.500 0.500 [2 per cell]
Bi: 0.000 0.000 0.500 [1 per cell]
Br: 0.500 0.500 0.000 [1 per cell]

**Theoretical density**: 3.99 g cm⁻³
**Formation energy without anion corrections**: -0.03 eV/f.u.
**Calculated volume**: 194.7 Å³/cell
**N(E_F)**: 5.33 states/eV per cell
**Total energy**: -2.729 eV per atom


A plane-wave DFT calculation with PBE was carried out for a relaxed Ba2Na3 crystal.

Unit cell a=9.269 b=9.269 c=5.799 alpha=90.00 beta=90.00 gamma=90.00
Space group P4/mbm (No. 127)
Asymmetric unit:
Ba: 0.175 0.325 0.000 [4 per cell]
Na: 0.000 0.000 0.500 [2 per cell]
Na: 0.129 0.629 0.500 [4 per cell]

**Theoretical density**: 2.29 g cm⁻³
**Relative energy among the computed polymorphs**: 0.0001 eV/atom
**Calculated volume**: 498.3 Å³/cell
**Energy relative to the elements**: 2 kJ per mole of atoms
**N(E_F)**: 9.19 states/eV per cell
**Total energy**: -1.535 eV per atom


A plane-wave DFT calculation with PBE was carried out for a relaxed KRbHf2N crystal.

Unit cell a=5.129 b=5.129 c=5.798 alpha=90.00 beta=90.00 gamma=90.00
Space group P4/mmm (No. 123)
Asymmetric unit:
K: 0.000 0.000 0.000 [1 per cell]
Rb: 0.000 0.000 0.500 [1 per cell]
Hf: 0.000 0.500 0.000 [2 per cell]
N: 0.500 0.500 0.500 [1 per cell]

**Theoretical density**: 5.39 g cm⁻³
**Formation energy without anion corrections**: 15.58 eV/f.u.
**Calculated volume**: 152.5 Å³/cell
**N(E_F)**: 8.97 states/eV per cell
**Total energy**: -2.944 eV per atom


A plane-wave DFT calculation with PBE was carried out for a relaxed La2Ni crystal.

Unit cell a=7.059 b=7.059 c=7.059 alpha=90.00 beta=90.00 gamma=90.00
Space group Pa-3 (No. 205)
Asymmetric unit:
La: 0.171 0.171 0.171 [8 per cell]
Ni: 0.000 0.000 0.500 [4 per cell]

**Theoretical density**: 6.36 g cm⁻³
**Calculated volume**: 351.7 Å³/cell
**Energy relative to the elements**: -16 kJ per mole of atoms
**N(E_F)**: 14.02 states/eV per cell
**Total energy**: -5.381 eV per atom


A plane-wave DFT calculation with PBE was carried out for a relaxed Al2Ga2Cu crystal.

Unit cell a=3.651 b=3.651 c=13.357 alpha=90.00 beta=90.00 gamma=90.00
Space group I4/mmm (No. 139)
Asymmetric unit:
Al: 0.000 0.000 0.097 [4 per cell]
Ga: 0.000 0.500 0.250 [4 per cell]
Cu: 0.000 0.000 0.500 [2 per cell]

**Theoretical density**: 4.79 g cm⁻³
**Relative energy among the computed polymorphs**: 0.1509 eV/atom
**Calculated volume**: 178.1 Å³/cell
**Energy relative to the elements**: 24 kJ per mole of atoms
**N(E_F)**: 5.29 states/eV per cell
**Total energy**: -3.282 eV per atom